Below is a relaxed WSeBrN2 crystal, with properties calculated at the PBE-GGA level.

Geometry as POSCAR:
```
WSeBrN2
1.0
-0.160 -0.927 3.813
3.488 -1.782 -0.287
2.515 4.722 1.254
W N Br Se
1 2 1 1
direct
0.000 0.000 0.000 W
0.500 0.000 0.000 N
0.000 0.500 0.000 N
0.500 0.500 0.500 Br
0.000 0.000 0.500 Se
```

Values from the calculation:
Raw formation energy in meV per atom: 482
Offset from the most stable computed form in meV per atom: 0
Total magnetic moment in μB/atom: 0.000
Volume in Å³ per atom: 17.0
Density of states at the Fermi level in states/eV per atom: 0.8449